[1]
The following is a DFT calculation (PBE) of a geometry-optimized PrEu2F structure.

## Properties
- Size of the total moment: 3.741 μB/atom
- Raw total energy: -32.125 eV for the cell shown
- Crystal system: trigonal
- Energy relative to the elements, uncorrected: -1.2312 eV per atom

Cell lengths 3.805, 3.805, 9.769 Å; angles 78.77, 78.77, 60.00 degrees
Sites, in units of the cell vectors:
Eu 0.723 0.723 0.830
Eu 0.277 0.277 0.170
Pr 0.500 0.500 0.500
F 0.000 0.000 0.000

=====

[2]
The following is a DFT calculation (PBE) of a geometry-optimized Li4Nd3Pb4 structure.

## Properties
- Size of the total moment: 0.000 μB/atom
- Raw total energy: -41.493 eV for the cell shown
- Energy relative to the lowest polymorph listed for this composition: 89 meV/atom
- Crystal system: triclinic
- ΔE_f: -427 meV/atom

Cell lengths 3.774, 4.898, 15.529 Å; angles 80.92, 83.02, 90.00 degrees
Sites, in units of the cell vectors:
Li 0.594 0.094 0.812
Li 0.259 0.258 0.484
Li 0.741 0.742 0.516
Li 0.406 0.906 0.188
Nd 0.143 0.643 0.715
Nd 0.857 0.357 0.285
Nd 0.000 0.000 0.000
Pb 0.553 0.552 0.897
Pb 0.447 0.448 0.103
Pb 0.314 0.814 0.371
Pb 0.686 0.186 0.629

=====

Repeat the first record exactly.
The following is a DFT calculation (PBE) of a geometry-optimized PrEu2F structure.

## Properties
- Size of the total moment: 3.741 μB/atom
- Raw total energy: -32.125 eV for the cell shown
- Crystal system: trigonal
- Energy relative to the elements, uncorrected: -1.2312 eV per atom

Cell lengths 3.805, 3.805, 9.769 Å; angles 78.77, 78.77, 60.00 degrees
Sites, in units of the cell vectors:
Eu 0.723 0.723 0.830
Eu 0.277 0.277 0.170
Pr 0.500 0.500 0.500
F 0.000 0.000 0.000

=====

Copy entry 2 word for word.
The following is a DFT calculation (PBE) of a geometry-optimized Li4Nd3Pb4 structure.

## Properties
- Size of the total moment: 0.000 μB/atom
- Raw total energy: -41.493 eV for the cell shown
- Energy relative to the lowest polymorph listed for this composition: 89 meV/atom
- Crystal system: triclinic
- ΔE_f: -427 meV/atom

Cell lengths 3.774, 4.898, 15.529 Å; angles 80.92, 83.02, 90.00 degrees
Sites, in units of the cell vectors:
Li 0.594 0.094 0.812
Li 0.259 0.258 0.484
Li 0.741 0.742 0.516
Li 0.406 0.906 0.188
Nd 0.143 0.643 0.715
Nd 0.857 0.357 0.285
Nd 0.000 0.000 0.000
Pb 0.553 0.552 0.897
Pb 0.447 0.448 0.103
Pb 0.314 0.814 0.371
Pb 0.686 0.186 0.629